No. 1
PaNi2Pt4: relaxed, PBE-GGA.

## Properties
ΔE to the lowest computed polymorph	625	meV per atom
space-group type	I4/mmm (139)
E_tot	-6.39	eV per atom
DOS at the Fermi energy	18.0	states/eV/cell

Cell and atoms, written as CIF:
```
data_PaNi2Pt4
_space_group_name_H-M_alt 'P 1'
_space_group_IT_number 1
_space_group_name_Hall 'P 1'
_cell_length_a 5.008
_cell_length_b 5.008
_cell_length_c 10.391
_cell_angle_alpha 90.00
_cell_angle_beta 90.00
_cell_angle_gamma 90.00
loop_
_atom_site_label
_atom_site_fract_x
_atom_site_fract_y
_atom_site_fract_z
_atom_site_occupancy
Pa1 0.000 0.000 0.000 1
Pa2 0.500 0.500 0.500 1
Ni1 0.000 0.000 0.374 1
Ni2 0.000 0.000 0.626 1
Ni3 0.500 0.500 0.126 1
Ni4 0.500 0.500 0.874 1
Pt1 0.000 0.500 0.000 1
Pt2 0.000 0.500 0.250 1
Pt3 0.000 0.500 0.500 1
Pt4 0.000 0.500 0.750 1
Pt5 0.500 0.000 0.000 1
Pt6 0.500 0.000 0.250 1
Pt7 0.500 0.000 0.500 1
Pt8 0.500 0.000 0.750 1
```

No. 2
Pa3Ni2Pt: relaxed, PBE-GGA.

## Properties
ΔE to the lowest computed polymorph	0	meV per atom
space-group type	Pmc2_1 (26)
E_tot	-8.12	eV per atom
DOS at the Fermi energy	14.5	states/eV/cell

Cell and atoms, written as CIF:
```
data_Pa3Ni2Pt
_space_group_name_H-M_alt 'P 1'
_space_group_IT_number 1
_space_group_name_Hall 'P 1'
_cell_length_a 3.640
_cell_length_b 8.908
_cell_length_c 7.356
_cell_angle_alpha 90.00
_cell_angle_beta 90.00
_cell_angle_gamma 90.00
loop_
_atom_site_label
_atom_site_fract_x
_atom_site_fract_y
_atom_site_fract_z
_atom_site_occupancy
Pa1 0.000 0.091 0.000 1
Pa2 0.000 0.909 0.500 1
Pa3 0.500 0.239 0.313 1
Pa4 0.500 0.366 0.815 1
Pa5 0.500 0.634 0.315 1
Pa6 0.500 0.761 0.813 1
Ni1 0.000 0.233 0.584 1
Ni2 0.000 0.767 0.084 1
Ni3 0.500 0.061 0.709 1
Ni4 0.500 0.939 0.209 1
Pt1 0.000 0.468 0.081 1
Pt2 0.000 0.532 0.581 1
```

No. 3
Pa3Ni2Pt: relaxed, PBE-GGA.

## Properties
ΔE to the lowest computed polymorph	101	meV per atom
space-group type	R-3c (167)
E_tot	-8.02	eV per atom
DOS at the Fermi energy	22.4	states/eV/cell

Cell and atoms, written as CIF:
```
data_Pa3Ni2Pt
_space_group_name_H-M_alt 'P 1'
_space_group_IT_number 1
_space_group_name_Hall 'P 1'
_cell_length_a 7.107
_cell_length_b 7.107
_cell_length_c 7.107
_cell_angle_alpha 60.97
_cell_angle_beta 60.97
_cell_angle_gamma 60.97
loop_
_atom_site_label
_atom_site_fract_x
_atom_site_fract_y
_atom_site_fract_z
_atom_site_occupancy
Pa1 0.056 0.750 0.444 1
Pa2 0.250 0.556 0.944 1
Pa3 0.444 0.056 0.750 1
Pa4 0.556 0.944 0.250 1
Pa5 0.750 0.444 0.056 1
Pa6 0.944 0.250 0.556 1
Ni1 0.155 0.155 0.155 1
Ni2 0.345 0.345 0.345 1
Ni3 0.655 0.655 0.655 1
Ni4 0.845 0.845 0.845 1
Pt1 0.000 0.000 0.000 1
Pt2 0.500 0.500 0.500 1
```

No. 4
PaNi5Pt2: relaxed, PBE-GGA.

## Properties
space-group type	I4mm (107)
E_tot	-6.64	eV per atom
DOS at the Fermi energy	21.0	states/eV/cell

Cell and atoms, written as CIF:
```
data_PaNi5Pt2
_space_group_name_H-M_alt 'P 1'
_space_group_IT_number 1
_space_group_name_Hall 'P 1'
_cell_length_a 5.506
_cell_length_b 5.506
_cell_length_c 7.373
_cell_angle_alpha 90.00
_cell_angle_beta 90.00
_cell_angle_gamma 90.00
loop_
_atom_site_label
_atom_site_fract_x
_atom_site_fract_y
_atom_site_fract_z
_atom_site_occupancy
Pa1 0.000 0.000 0.000 1
Pa2 0.500 0.500 0.500 1
Ni1 0.000 0.000 0.501 1
Ni2 0.250 0.250 0.251 1
Ni3 0.250 0.250 0.751 1
Ni4 0.250 0.750 0.251 1
Ni5 0.250 0.750 0.751 1
Ni6 0.500 0.500 0.001 1
Ni7 0.750 0.250 0.251 1
Ni8 0.750 0.250 0.751 1
Ni9 0.750 0.750 0.251 1
Ni10 0.750 0.750 0.751 1
Pt1 0.000 0.500 0.001 1
Pt2 0.000 0.500 0.501 1
Pt3 0.500 0.000 0.001 1
Pt4 0.500 0.000 0.501 1
```

No. 5
Pa2Ni5Pt4: relaxed, PBE-GGA.

## Properties
space-group type	Fmmm (69)
E_tot	-7.04	eV per atom
DOS at the Fermi energy	11.1	states/eV/cell

Cell and atoms, written as CIF:
```
data_Pa2Ni5Pt4
_space_group_name_H-M_alt 'P 1'
_space_group_IT_number 1
_space_group_name_Hall 'P 1'
_cell_length_a 9.415
_cell_length_b 8.728
_cell_length_c 5.028
_cell_angle_alpha 81.60
_cell_angle_beta 66.50
_cell_angle_gamma 31.89
loop_
_atom_site_label
_atom_site_fract_x
_atom_site_fract_y
_atom_site_fract_z
_atom_site_occupancy
Pa1 0.124 0.124 0.876 1
Pa2 0.876 0.876 0.124 1
Ni1 0.000 0.000 0.500 1
Ni2 0.250 0.250 0.250 1
Ni3 0.500 0.500 0.000 1
Ni4 0.500 0.500 0.500 1
Ni5 0.750 0.750 0.750 1
Pt1 0.208 0.537 0.463 1
Pt2 0.463 0.792 0.208 1
Pt3 0.537 0.208 0.792 1
Pt4 0.792 0.463 0.537 1
```

No. 6
Pa2Ni2Pt: relaxed, PBE-GGA.

## Properties
ΔE to the lowest computed polymorph	6	meV per atom
space-group type	P4/mnc (128)
E_tot	-7.94	eV per atom
DOS at the Fermi energy	17.0	states/eV/cell

Cell and atoms, written as CIF:
```
data_Pa2Ni2Pt
_space_group_name_H-M_alt 'P 1'
_space_group_IT_number 1
_space_group_name_Hall 'P 1'
_cell_length_a 7.096
_cell_length_b 7.096
_cell_length_c 7.292
_cell_angle_alpha 90.00
_cell_angle_beta 90.00
_cell_angle_gamma 90.00
loop_
_atom_site_label
_atom_site_fract_x
_atom_site_fract_y
_atom_site_fract_z
_atom_site_occupancy
Pa1 0.177 0.322 0.000 1
Pa2 0.178 0.323 0.500 1
Pa3 0.322 0.823 0.000 1
Pa4 0.323 0.822 0.500 1
Pa5 0.677 0.178 0.500 1
Pa6 0.678 0.177 0.000 1
Pa7 0.822 0.677 0.500 1
Pa8 0.823 0.678 0.000 1
Ni1 0.125 0.625 0.250 1
Ni2 0.125 0.625 0.750 1
Ni3 0.375 0.125 0.250 1
Ni4 0.375 0.125 0.750 1
Ni5 0.625 0.875 0.250 1
Ni6 0.625 0.875 0.750 1
Ni7 0.875 0.375 0.250 1
Ni8 0.875 0.375 0.750 1
Pt1 0.000 0.000 0.251 1
Pt2 0.000 0.000 0.749 1
Pt3 0.500 0.500 0.249 1
Pt4 0.500 0.500 0.751 1
```

No. 7
PaNiPt3: relaxed, PBE-GGA.

## Properties
ΔE to the lowest computed polymorph	0	meV per atom
space-group type	Pmn2_1 (31)
E_tot	-7.33	eV per atom
DOS at the Fermi energy	7.0	states/eV/cell

Cell and atoms, written as CIF:
```
data_PaNiPt3
_space_group_name_H-M_alt 'P 1'
_space_group_IT_number 1
_space_group_name_Hall 'P 1'
_cell_length_a 5.379
_cell_length_b 4.318
_cell_length_c 7.671
_cell_angle_alpha 90.00
_cell_angle_beta 90.00
_cell_angle_gamma 90.00
loop_
_atom_site_label
_atom_site_fract_x
_atom_site_fract_y
_atom_site_fract_z
_atom_site_occupancy
Pa1 0.000 0.113 0.000 1
Pa2 0.500 0.887 0.500 1
Ni1 0.000 0.852 0.333 1
Ni2 0.500 0.148 0.833 1
Pt1 0.000 0.152 0.621 1
Pt2 0.247 0.636 0.798 1
Pt3 0.253 0.364 0.298 1
Pt4 0.500 0.848 0.121 1
Pt5 0.747 0.364 0.298 1
Pt6 0.753 0.636 0.798 1
```

No. 8
Pa2Ni2Pt: relaxed, PBE-GGA.

## Properties
ΔE to the lowest computed polymorph	0	meV per atom
space-group type	Immm (71)
E_tot	-7.95	eV per atom
DOS at the Fermi energy	11.1	states/eV/cell

Cell and atoms, written as CIF:
```
data_Pa2Ni2Pt
_space_group_name_H-M_alt 'P 1'
_space_group_IT_number 1
_space_group_name_Hall 'P 1'
_cell_length_a 4.224
_cell_length_b 5.884
_cell_length_c 7.241
_cell_angle_alpha 90.00
_cell_angle_beta 90.00
_cell_angle_gamma 90.00
loop_
_atom_site_label
_atom_site_fract_x
_atom_site_fract_y
_atom_site_fract_z
_atom_site_occupancy
Pa1 0.000 0.000 0.205 1
Pa2 0.000 0.000 0.795 1
Pa3 0.500 0.500 0.295 1
Pa4 0.500 0.500 0.705 1
Ni1 0.000 0.292 0.500 1
Ni2 0.000 0.708 0.500 1
Ni3 0.500 0.208 0.000 1
Ni4 0.500 0.792 0.000 1
Pt1 0.000 0.500 0.000 1
Pt2 0.500 0.000 0.500 1
```